A geometry-optimized SrLi2SnRh structure, computed with GGA-PBE.

Its space-group type is P4/mmm (123). The value obtained for the formation energy is -309.6 meV per atom.

Lattice parameters (Å, degrees): 4.907 4.907 5.064 90.00 90.00 90.00
Positions (direct):
Sr (0.000, 0.000, 0.000)
Li (0.000, 0.500, 0.500)
Li (0.500, 0.000, 0.500)
Sn (0.500, 0.500, 0.000)
Rh (0.500, 0.500, 0.500)

A geometry-optimized Mg4Zn structure, computed with GGA-PBE.

The value obtained for the excess energy over the best structure of this formula in the dataset is 17 meV/atom. Its space-group type is I4/m (87). The value obtained for the formation energy is -8.8 meV per atom.

Lattice parameters (Å, degrees): 5.329 5.329 5.329 100.25 100.25 130.10
Positions (direct):
Mg (0.107, 0.299, 0.406)
Mg (0.299, 0.893, 0.192)
Mg (0.701, 0.107, 0.808)
Mg (0.893, 0.701, 0.594)
Zn (0.500, 0.500, 0.000)

A geometry-optimized Ho7Tl2Au2 structure, computed with GGA-PBE.

Its space-group type is Cmmm (65). The value obtained for the formation energy is -259.3 meV per atom.

Lattice parameters (Å, degrees): 6.950 6.950 7.153 90.00 90.00 106.96
Positions (direct):
Ho (0.000, 0.000, 0.000)
Ho (0.000, 0.500, 0.260)
Ho (0.000, 0.500, 0.740)
Ho (0.500, 0.000, 0.260)
Ho (0.500, 0.000, 0.740)
Ho (0.500, 0.500, 0.248)
Ho (0.500, 0.500, 0.752)
Tl (0.180, 0.180, 0.500)
Tl (0.820, 0.820, 0.500)
Au (0.291, 0.709, 0.000)
Au (0.709, 0.291, 0.000)

A geometry-optimized ReHRu2 structure, computed with GGA-PBE.

The value obtained for the excess energy over the best structure of this formula in the dataset is 0 meV/atom. Its space-group type is R-3m (166).

Lattice parameters (Å, degrees): 6.915 6.915 6.915 23.12 23.12 23.12
Positions (direct):
Re (0.000, 0.000, 0.000)
H (0.500, 0.500, 0.500)
Ru (0.225, 0.225, 0.225)
Ru (0.775, 0.775, 0.775)

no.,calculated total energy (eV for the cell shown)
1,-18.4
2,-7.7
3,-46.2
4,-34.3